(1)
Material: Cr3Se
Method: DFT, SCAN
State: single point on PBEsol structure

It has space group P4/mmm (No. 123), with a = 2.9249 Å, b = 2.9249 Å, c = 5.7054 Å, α = 90.00°, β = 90.00° and γ = 90.00°. Symmetry generates all atoms from Cr at (0.0000, 0.0000, 0.0000), Cr at (0.5000, 0.5000, 0.2405) and Se at (0.0000, 0.0000, 0.5000).

The value obtained for the energy relative to the lowest polymorph listed for this composition is 0.00 kcal/mol of atoms. Its total moment is 1.7 μB per cell.


(2)
Material: Cr2Se3
Method: DFT, SCAN
State: single point on PBEsol structure

It has space group R-3 (No. 148, hexagonal axes), with a = 6.2421 Å, b = 6.2421 Å, c = 17.1735 Å, α = 90.00°, β = 90.00° and γ = 120.00°. Symmetry generates all atoms from Cr at (0.0000, 0.0000, 0.0000), Cr at (0.0000, 0.0000, 0.1751), Cr at (0.0000, 0.0000, 0.5000) and Se at (0.0041, 0.6594, 0.7522).

Its total moment is 36.0 μB per cell.


(3)
Material: Cr2Se3
Method: DFT, SCAN
State: single point on PBEsol structure

It has space group R-3m (No. 166, hexagonal axes), with a = 3.5504 Å, b = 3.5504 Å, c = 26.3346 Å, α = 90.00°, β = 90.00° and γ = 120.00°. Symmetry generates all atoms from Cr at (0.0000, 0.0000, 0.1042), Se at (0.0000, 0.0000, 0.2792) and Se at (0.0000, 0.0000, 0.5000).

Its total moment is 18.0 μB per cell.


(4)
Material: Cr4SiSe
Method: DFT, SCAN
State: single point on PBEsol structure

It has space group F-43m (No. 216), with a = 6.7116 Å, b = 6.7116 Å, c = 6.7116 Å, α = 90.00°, β = 90.00° and γ = 90.00°. Symmetry generates all atoms from Cr at (0.1241, 0.1241, 0.3759), Si at (0.0000, 0.0000, 0.0000) and Se at (0.2500, 0.2500, 0.7500).

Its total moment is 0.0 μB per cell.


(5)
Material: CrSi2Se
Method: DFT, SCAN
State: single point on PBEsol structure

It has space group P4/mmm (No. 123), with a = 3.5081 Å, b = 3.5081 Å, c = 5.1883 Å, α = 90.00°, β = 90.00° and γ = 90.00°. Symmetry generates all atoms from Cr at (0.0000, 0.0000, 0.0000), Si at (0.0000, 0.5000, 0.5000) and Se at (0.5000, 0.5000, 0.0000).

Its total moment is 3.3 μB per cell.


(6)
Material: CrSiSe2
Method: DFT, SCAN
State: single point on PBEsol structure

It has space group F-43m (No. 216), with a = 6.5006 Å, b = 6.5006 Å, c = 6.5006 Å, α = 90.00°, β = 90.00° and γ = 90.00°. Symmetry generates all atoms from Cr at (0.0000, 0.0000, 0.0000), Si at (0.2500, 0.2500, 0.7500), Se at (0.0000, 0.0000, 0.5000) and Se at (0.2500, 0.2500, 0.2500).

Its total moment is 16.6 μB per cell.


(7)
Material: CrSiSe2
Method: DFT, SCAN
State: single point on PBEsol structure

It has space group R-3m (No. 166, hexagonal axes), with a = 3.0588 Å, b = 3.0588 Å, c = 24.5940 Å, α = 90.00°, β = 90.00° and γ = 120.00°. Symmetry generates all atoms from Cr at (0.0000, 0.0000, 0.0000), Si at (0.0000, 0.0000, 0.5000) and Se at (0.0000, 0.0000, 0.2667).

Its total moment is 0.0 μB per cell.


(8)
Material: Cr2SiSe
Method: DFT, SCAN
State: single point on PBEsol structure

It has space group P4mm (No. 99), with a = 3.0700 Å, b = 3.0700 Å, c = 5.4070 Å, α = 90.00°, β = 90.00° and γ = 90.00°. Symmetry generates all atoms from Cr at (0.0000, 0.0000, 0.0000), Cr at (0.5000, 0.5000, 0.3103), Si at (0.5000, 0.5000, 0.8345) and Se at (0.0000, 0.0000, 0.5065).

Its total moment is 0.0 μB per cell.


(9)
Material: CrSiSe2
Method: DFT, SCAN
State: single point on PBEsol structure

It has space group Cmmm (No. 65), with a = 5.3806 Å, b = 7.3708 Å, c = 3.6914 Å, α = 90.00°, β = 90.00° and γ = 90.00°. Symmetry generates all atoms from Cr at (0.0000, 0.0000, 0.0000), Si at (0.0000, 0.5000, 0.0000) and Se at (0.0000, 0.2343, 0.5000).

Its total moment is 6.5 μB per cell.


(10)
Material: CrSi2Se
Method: DFT, SCAN
State: single point on PBEsol structure

It has space group I-42d (No. 122), with a = 5.7874 Å, b = 5.7874 Å, c = 10.0439 Å, α = 90.00°, β = 90.00° and γ = 90.00°. Symmetry generates all atoms from Cr at (0.0000, 0.0000, 0.0000), Si at (0.2345, 0.7500, 0.1250) and Se at (0.0000, 0.0000, 0.5000).

Its total moment is 12.9 μB per cell.


(11)
Material: CrSi2Se
Method: DFT, SCAN
State: single point on PBEsol structure

It has space group Cmmm (No. 65), with a = 5.3316 Å, b = 7.2037 Å, c = 2.9429 Å, α = 90.00°, β = 90.00° and γ = 90.00°. Symmetry generates all atoms from Cr at (0.0000, 0.0000, 0.0000), Si at (0.2500, 0.2500, 0.5000) and Se at (0.0000, 0.5000, 0.0000).

Its total moment is 5.4 μB per cell.


(12)
Material: Sm3CrSe6
Method: DFT, SCAN
State: single point on PBEsol structure

It has space group Pnnm (No. 58), with a = 13.9471 Å, b = 16.5776 Å, c = 3.9560 Å, α = 90.00°, β = 90.00° and γ = 90.00°. Symmetry generates all atoms from Sm at (0.0569, 0.2211, 0.0000), Sm at (0.1767, 0.6495, 0.0000), Sm at (0.2380, 0.9075, 0.5000), Cr at (0.0000, 0.0000, 0.5000), Cr at (0.0000, 0.5000, 0.5000), Se at (0.0268, 0.4036, 0.0000), Se at (0.0765, 0.9241, 0.0000), Se at (0.0986, 0.7581, 0.5000), Se at (0.1254, 0.1036, 0.5000), Se at (0.1782, 0.5211, 0.5000) and Se at (0.1925, 0.2911, 0.5000).

Its total moment is 12.0 μB per cell.


(13)
Material: Sr3CrSe
Method: DFT, SCAN
State: single point on PBEsol structure

It has space group Pm-3m (No. 221), with a = 5.7030 Å, b = 5.7030 Å, c = 5.7030 Å, α = 90.00°, β = 90.00° and γ = 90.00°. Symmetry generates all atoms from Sr at (0.0000, 0.0000, 0.5000), Cr at (0.0000, 0.0000, 0.0000) and Se at (0.5000, 0.5000, 0.5000).

Its total moment is 4.6 μB per cell.


(14)
Material: Sr2CrSe
Method: DFT, SCAN
State: single point on PBEsol structure

It has space group R-3m (No. 166, hexagonal axes), with a = 4.2592 Å, b = 4.2592 Å, c = 25.4853 Å, α = 90.00°, β = 90.00° and γ = 120.00°. Symmetry generates all atoms from Sr at (0.0000, 0.0000, 0.2388), Cr at (0.0000, 0.0000, 0.0000) and Se at (0.0000, 0.0000, 0.5000).

Its total moment is 18.2 μB per cell.


(15)
Material: Sr2CrSe
Method: DFT, SCAN
State: single point on PBEsol structure

It has space group I-4m2 (No. 119), with a = 4.4360 Å, b = 4.4360 Å, c = 11.8441 Å, α = 90.00°, β = 90.00° and γ = 90.00°. Symmetry generates all atoms from Sr at (0.0000, 0.0000, 0.0000), Sr at (0.0000, 0.5000, 0.2500), Cr at (0.0000, 0.0000, 0.5000) and Se at (0.0000, 0.5000, 0.7500).

Its total moment is 8.5 μB per cell.


(16)
Material: Ta2CrSe
Method: DFT, SCAN
State: single point on PBEsol structure

It has space group F-43m (No. 216), with a = 6.3006 Å, b = 6.3006 Å, c = 6.3006 Å, α = 90.00°, β = 90.00° and γ = 90.00°. Symmetry generates all atoms from Ta at (0.0000, 0.0000, 0.0000), Ta at (0.2500, 0.2500, 0.2500), Cr at (0.2500, 0.2500, 0.7500) and Se at (0.0000, 0.0000, 0.5000).

Its total moment is 10.0 μB per cell.


(17)
Material: Ta3CrSe
Method: DFT, SCAN
State: single point on PBEsol structure

It has space group Pm-3m (No. 221), with a = 4.5924 Å, b = 4.5924 Å, c = 4.5924 Å, α = 90.00°, β = 90.00° and γ = 90.00°. Symmetry generates all atoms from Ta at (0.0000, 0.0000, 0.5000), Cr at (0.0000, 0.0000, 0.0000) and Se at (0.5000, 0.5000, 0.5000).

Its total moment is 0.0 μB per cell.


(18)
Material: Ta4CrSe8
Method: DFT, SCAN
State: single point on PBEsol structure

It has space group P6_3/mmc (No. 194), with a = 6.8402 Å, b = 6.8402 Å, c = 12.4736 Å, α = 90.00°, β = 90.00° and γ = 120.00°. Symmetry generates all atoms from Ta at (0.0000, 0.0000, 0.2500), Ta at (0.0178, 0.5089, 0.2500), Cr at (0.0000, 0.0000, 0.0000), Se at (0.1688, 0.3375, 0.6177) and Se at (0.3333, 0.6667, 0.1101).

Its total moment is 5.2 μB per cell.


(19)
Material: TaCrSe2
Method: DFT, SCAN
State: single point on PBEsol structure

It has space group P4/mmm (No. 123), with a = 3.2180 Å, b = 3.2180 Å, c = 6.4666 Å, α = 90.00°, β = 90.00° and γ = 90.00°. Symmetry generates all atoms from Ta at (0.0000, 0.0000, 0.0000), Cr at (0.0000, 0.0000, 0.5000) and Se at (0.5000, 0.5000, 0.2358).

The value obtained for the energy relative to the lowest polymorph listed for this composition is 0.00 kcal/mol of atoms. Its total moment is 4.7 μB per cell.


(20)
Material: TaCrSe2
Method: DFT, SCAN
State: single point on PBEsol structure

It has space group C2/m (No. 12), with a = 7.9533 Å, b = 3.2884 Å, c = 5.4777 Å, α = 90.00°, β = 97.98° and γ = 90.00°. Symmetry generates all atoms from Ta at (0.0000, 0.0000, 0.0000), Cr at (0.0000, 0.5000, 0.5000) and Se at (0.2204, 0.5000, 0.2338).

The value obtained for the energy relative to the lowest polymorph listed for this composition is 2.65 kcal/mol of atoms. Its total moment is 6.5 μB per cell.


(21)
Material: Ta2CrSe
Method: DFT, SCAN
State: single point on PBEsol structure

It has space group P4mm (No. 99), with a = 3.2024 Å, b = 3.2024 Å, c = 6.1513 Å, α = 90.00°, β = 90.00° and γ = 90.00°. Symmetry generates all atoms from Ta at (0.0000, 0.0000, 0.0000), Ta at (0.5000, 0.5000, 0.3059), Cr at (0.0000, 0.0000, 0.5077) and Se at (0.5000, 0.5000, 0.7667).

Its total moment is 2.0 μB per cell.


(22)
Material: CrTc3Se
Method: DFT, SCAN
State: single point on PBEsol structure

It has space group Pm-3m (No. 221), with a = 4.3813 Å, b = 4.3813 Å, c = 4.3813 Å, α = 90.00°, β = 90.00° and γ = 90.00°. Symmetry generates all atoms from Cr at (0.0000, 0.0000, 0.0000), Tc at (0.0000, 0.0000, 0.5000) and Se at (0.5000, 0.5000, 0.5000).

Its total moment is 1.2 μB per cell.


(23)
Material: CrTcSe
Method: DFT, SCAN
State: single point on PBEsol structure

It has space group P-6m2 (No. 187), with a = 4.0318 Å, b = 4.0318 Å, c = 2.8647 Å, α = 90.00°, β = 90.00° and γ = 120.00°. Symmetry generates all atoms from Cr at (0.0000, 0.0000, 0.0000), Tc at (0.6667, 0.3333, 0.5000) and Se at (0.3333, 0.6667, 0.0000).

Its total moment is 0.0 μB per cell.


(24)
Material: CrTcSe2
Method: DFT, SCAN
State: single point on PBEsol structure

It has space group P2/m (No. 10), with a = 4.1026 Å, b = 3.0814 Å, c = 5.1169 Å, α = 90.00°, β = 110.91° and γ = 90.00°. Symmetry generates all atoms from Cr at (0.0000, 0.0000, 0.0000), Tc at (0.5000, 0.5000, 0.5000), Se at (0.0000, 0.0000, 0.5000) and Se at (0.5000, 0.5000, 0.0000).

Its total moment is 2.0 μB per cell.


(25)
Material: CrTeSe
Method: DFT, SCAN
State: single point on PBEsol structure

It has space group P3m1 (No. 156), with a = 3.5668 Å, b = 3.5668 Å, c = 5.9270 Å, α = 90.00°, β = 90.00° and γ = 120.00°. Symmetry generates all atoms from Cr at (0.0000, 0.0000, 0.0000), Te at (0.6667, 0.3333, 0.2914) and Se at (0.3333, 0.6667, 0.7810).

The value obtained for the energy relative to the lowest polymorph listed for this composition is 0.00 kcal/mol of atoms. Its total moment is 2.4 μB per cell.


(26)
Material: CrTe2Se
Method: DFT, SCAN
State: single point on PBEsol structure

It has space group P4/mmm (No. 123), with a = 3.0772 Å, b = 3.0772 Å, c = 9.0936 Å, α = 90.00°, β = 90.00° and γ = 90.00°. Symmetry generates all atoms from Cr at (0.0000, 0.0000, 0.0000), Te at (0.5000, 0.5000, 0.1787) and Se at (0.0000, 0.0000, 0.5000).

Its total moment is 0.4 μB per cell.


no.,raw formation energy (eV/atom),electronic total energy (eV per atom)
1,0.13,-18.682
2,-0.88,-20.283
3,-0.81,-20.210
4,0.49,-16.785
5,0.31,-14.315
6,0.59,-16.553
7,0.24,-16.899
8,0.10,-16.614
9,0.01,-17.126
10,0.54,-14.086
11,0.47,-14.153
12,-1.83,-29.050
13,0.19,-20.870
14,-0.71,-21.459
15,-0.49,-21.242
16,0.41,-42.496
17,1.05,-46.592
18,-0.88,-35.137
19,-0.29,-31.567
20,-0.17,-31.452
21,0.03,-42.882
22,1.44,-27.287
23,0.29,-24.215
24,0.05,-23.352
25,-0.54,-25.776
26,0.30,-27.943